Run one
Entry from Alexandria via LeMat-Bulk: a relaxed BAuNF2 crystal (GGA-PBE).

Cell lengths 4.6568, 4.6568, 3.7461 Å; angles 90.00, 90.00, 90.00 degrees
Each line ends with the local moment (μB).
Fractional positions:
1 B 0.5000 0.5000 0.5000  0.01
2 N 0.0000 0.0000 0.5000  0.16
3 Au 0.0000 0.0000 0.0000  0.05
4 F 0.0000 0.5000 0.0000  0.01
5 F 0.5000 0.0000 0.0000  0.01

* D(E_F): 2.47 states/eV per cell

=====

Run two
Entry from Alexandria via LeMat-Bulk: a relaxed BAuNF2 crystal (GGA-PBE).

Cell lengths 4.5431, 4.5431, 2.7158 Å; angles 90.00, 90.00, 90.00 degrees
Each line ends with the local moment (μB).
Fractional positions:
1 B 0.0000 0.0000 0.0000  0.03
2 N 0.0000 0.0000 0.5000  -0.42
3 Au 0.5000 0.5000 0.5000  -0.17
4 F 0.0000 0.5000 0.0000  -0.12
5 F 0.5000 0.0000 0.0000  -0.12

* D(E_F): 4.80 states/eV per cell

=====

Of them, run two has the highest stability.

=====

Run one
Entry from Alexandria via LeMat-Bulk: a relaxed Li2FeBAu crystal (GGA-PBE).

Cell lengths 4.1682, 4.0796, 4.1682 Å; angles 90.00, 90.00, 90.00 degrees
Each line ends with the local moment (μB).
Fractional positions:
1 B 0.0000 0.0000 0.0000  0.08
2 Au 0.0000 0.5000 0.0000  0.02
3 Fe 0.5000 0.5000 0.5000  3.19
4 Li 0.0000 0.0000 0.5000  -0.01
5 Li 0.5000 0.0000 0.0000  -0.02

* D(E_F): 4.43 states/eV per cell

=====

Run two
Entry from Alexandria via LeMat-Bulk: a relaxed Li2FeBAu crystal (GGA-PBE).

Cell lengths 4.6877, 4.0762, 4.6877 Å; angles 90.00, 90.00, 90.00 degrees
Each line ends with the local moment (μB).
Fractional positions:
1 B 0.0000 0.5000 0.0000  0.01
2 Au 0.0000 0.0000 0.0000  0.00
3 Fe 0.5000 0.5000 0.5000  3.24
4 Li 0.0000 0.0000 0.5000  -0.02
5 Li 0.5000 0.0000 0.0000  -0.02

* D(E_F): 7.28 states/eV per cell

=====

Of them, run one has the highest stability.